[1]
Computed, not measured: crystalline Ba2SbF at its relaxed geometry at the PBE level of DFT.

Output
Excess energy over the best structure of this formula in the dataset, eV per atom: 0.054
Formation energy without anion corrections, eV per atom: -1.96

Unit cell a=7.0555 b=6.8079 c=15.8593 alpha=90.00 beta=115.52 gamma=90.00
With the nearest neighbours (Å) after each atom.
Space group P2/c (No. 13)
Inequivalent atoms, fractional coordinates:
Ba 0.1246 0.1877 0.1212 [4 per cell]  2 F 2.64-2.77
Ba 0.3300 0.2538 0.9007 [4 per cell]  1 F 2.58
Sb 0.3623 0.2465 0.3648 [4 per cell]  6 Ba 3.41-3.56
F 0.0065 0.1748 0.9305 [4 per cell]  3 Ba 2.58-2.77

[2]
Computed, not measured: crystalline Ba2SbF at its relaxed geometry at the PBE level of DFT.

Output
Excess energy over the best structure of this formula in the dataset, eV per atom: 0.189
Formation energy without anion corrections, eV per atom: -1.82

Unit cell a=6.7119 b=6.7119 c=14.6664 alpha=90.00 beta=90.00 gamma=90.00
With the nearest neighbours (Å) after each atom.
Space group I-42d (No. 122)
Inequivalent atoms, fractional coordinates:
Ba 0.1757 0.2500 0.1250 [8 per cell]  2 F 2.75
Sb 0.0000 0.0000 0.5000 [4 per cell]  4 Ba 3.30
F 0.0000 0.0000 0.0000 [4 per cell]  4 Ba 2.75

[3]
Computed, not measured: crystalline Ba5Sb2F2 at its relaxed geometry at the PBE level of DFT.

Output
Formation energy without anion corrections, eV per atom: -1.71

Unit cell a=14.6642 b=5.8002 c=7.9518 alpha=90.00 beta=108.14 gamma=90.00
With the nearest neighbours (Å) after each atom.
Space group C2/m (No. 12)
Inequivalent atoms, fractional coordinates:
Ba 0.0000 0.0000 0.0000 [2 per cell]  2 F 2.79
Ba 0.1510 0.0000 0.5387 [4 per cell]  1 F 2.73
Ba 0.1527 0.5000 0.8822 [4 per cell]  3 F 2.76-2.90
Sb 0.0977 0.5000 0.2885 [4 per cell]  7 Ba 3.47-3.70
F 0.1621 0.0000 0.8879 [4 per cell]  5 Ba 2.73-2.90